(1)
Cu2TcTe2 | OQMD | GGA-PBE | relaxed; SG = I4/mmm (139)
1.0
5.057 0.000 0.000
0.000 5.057 0.000
0.000 0.000 7.434
Cu Tc Te
4 2 4
Direct
0.000 0.000 0.154
0.000 0.000 0.846
0.500 0.500 0.346
0.500 0.500 0.654
0.000 0.000 0.500
0.500 0.500 0.000
0.000 0.500 0.250
0.000 0.500 0.750
0.500 0.000 0.250
0.500 0.000 0.750

***

(2)
Fe13Co3 | OQMD | GGA-PBE | relaxed; SG = P4/mmm (123); formation enthalpy at 0 K = -0.035 eV/atom
1.0
5.673 0.000 0.000
0.000 5.673 0.000
0.000 0.000 5.672
Fe Co
13 3
Direct
0.000 0.000 0.000
0.000 0.500 0.000
0.000 0.500 0.500
0.250 0.250 0.250
0.250 0.250 0.750
0.250 0.750 0.250
0.250 0.750 0.750
0.500 0.000 0.000
0.500 0.000 0.500
0.750 0.250 0.250
0.750 0.250 0.750
0.750 0.750 0.250
0.750 0.750 0.750
0.000 0.000 0.500
0.500 0.500 0.000
0.500 0.500 0.500

***

(3)
LuNpSb | OQMD | GGA-PBE | relaxed; SG = F-43m (216)
1.0
7.248 0.000 0.000
0.000 7.248 0.000
0.000 0.000 7.248
Lu Np Sb
4 4 4
Direct
0.000 0.000 0.000
0.000 0.500 0.500
0.500 0.000 0.500
0.500 0.500 0.000
0.250 0.250 0.250
0.250 0.750 0.750
0.750 0.250 0.750
0.750 0.750 0.250
0.000 0.000 0.500
0.000 0.500 0.000
0.500 0.000 0.000
0.500 0.500 0.500

***

(4)
MgZnCoRe | OQMD | GGA-PBE | relaxed; excess energy over the best structure of this formula in the dataset = 0 meV per atom; SG = F-43m (216)
1.0
6.064 0.000 0.000
0.000 6.064 0.000
0.000 0.000 6.064
Mg Zn Co Re
4 4 4 4
Direct
0.000 0.000 0.000
0.000 0.500 0.500
0.500 0.000 0.500
0.500 0.500 0.000
0.250 0.250 0.250
0.250 0.750 0.750
0.750 0.250 0.750
0.750 0.750 0.250
0.000 0.000 0.500
0.000 0.500 0.000
0.500 0.000 0.000
0.500 0.500 0.500
0.250 0.250 0.750
0.250 0.750 0.250
0.750 0.250 0.250
0.750 0.750 0.750

***

(5)
PrGdAs | OQMD | GGA-PBE | relaxed; excess energy over the best structure of this formula in the dataset = 0 meV per atom; SG = F-43m (216)
1.0
7.006 0.000 0.000
0.000 7.006 0.000
0.000 0.000 7.006
Pr Gd As
4 4 4
Direct
0.000 0.000 0.000
0.000 0.500 0.500
0.500 0.000 0.500
0.500 0.500 0.000
0.000 0.000 0.500
0.000 0.500 0.000
0.500 0.000 0.000
0.500 0.500 0.500
0.250 0.250 0.750
0.250 0.750 0.250
0.750 0.250 0.250
0.750 0.750 0.750

***

(6)
LiTaCdPd | OQMD | GGA-PBE | relaxed; excess energy over the best structure of this formula in the dataset = 341 meV per atom; SG = F-43m (216)
1.0
6.389 0.000 0.000
0.000 6.389 0.000
0.000 0.000 6.389
Li Ta Cd Pd
4 4 4 4
Direct
0.000 0.000 0.000
0.000 0.500 0.500
0.500 0.000 0.500
0.500 0.500 0.000
0.250 0.250 0.750
0.250 0.750 0.250
0.750 0.250 0.250
0.750 0.750 0.750
0.000 0.000 0.500
0.000 0.500 0.000
0.500 0.000 0.000
0.500 0.500 0.500
0.250 0.250 0.250
0.250 0.750 0.750
0.750 0.250 0.750
0.750 0.750 0.250

***

(7)
FeCuSe4 | OQMD | GGA-PBE | relaxed; SG = P2/m (10)
1.0
4.944 0.000 0.000
0.000 3.684 0.000
-0.029 0.000 5.999
Fe Cu Se
1 1 4
Direct
0.000 0.000 0.000
0.500 0.500 0.500
0.189 0.000 0.365
0.282 0.500 0.888
0.718 0.500 0.112
0.811 0.000 0.635

***

(8)
NbH8N2Cl6 | OQMD | GGA-PBE | relaxed; SG = Fm-3m (225)
1.0
0.000 4.992 4.992
4.992 0.000 4.992
4.992 4.992 0.000
Nb H N Cl
1 8 2 6
Direct
0.000 0.000 0.000
0.070 0.310 0.310
0.310 0.070 0.310
0.310 0.310 0.070
0.310 0.310 0.310
0.690 0.690 0.690
0.690 0.690 0.930
0.690 0.930 0.690
0.930 0.690 0.690
0.250 0.250 0.250
0.750 0.750 0.750
0.243 0.243 0.757
0.243 0.757 0.243
0.243 0.757 0.757
0.757 0.243 0.243
0.757 0.243 0.757
0.757 0.757 0.243

***

(9)
KSmCoTe3 | OQMD | GGA-PBE | relaxed; SG = Cmcm (63)
1.0
2.164 -7.999 0.000
2.164 7.999 0.000
0.000 0.000 11.646
K Sm Co Te
2 2 2 6
Direct
0.247 0.753 0.750
0.753 0.247 0.250
0.500 0.500 0.000
0.500 0.500 0.500
0.028 0.972 0.250
0.972 0.028 0.750
0.128 0.872 0.075
0.128 0.872 0.425
0.431 0.569 0.250
0.569 0.431 0.750
0.872 0.128 0.575
0.872 0.128 0.925

***

(10)
Na2PtCl6 | OQMD | GGA-PBE | relaxed; excess energy over the best structure of this formula in the dataset = 24 meV per atom; SG = P4_2/mnm (136)
1.0
6.241 0.000 0.000
0.000 6.241 0.000
0.000 0.000 11.853
Na Pt Cl
4 2 12
Direct
0.000 0.000 0.166
0.000 0.000 0.834
0.500 0.500 0.334
0.500 0.500 0.666
0.000 0.000 0.500
0.500 0.500 0.000
0.182 0.182 0.356
0.182 0.182 0.644
0.234 0.234 0.000
0.266 0.734 0.500
0.318 0.682 0.144
0.318 0.682 0.856
0.682 0.318 0.144
0.682 0.318 0.856
0.734 0.266 0.500
0.766 0.766 0.000
0.818 0.818 0.356
0.818 0.818 0.644

***

(11)
Nd4GeCl5 | OQMD | GGA-PBE | relaxed; SG = C2/m (12)
1.0
9.111 -2.056 0.000
9.111 2.056 0.000
-2.092 0.000 8.158
Nd Ge Cl
4 1 5
Direct
0.001 0.001 0.235
0.343 0.343 0.908
0.657 0.657 0.092
0.999 0.999 0.765
0.500 0.500 0.000
0.166 0.166 0.329
0.170 0.170 0.855
0.500 0.500 0.500
0.830 0.830 0.145
0.834 0.834 0.671

***

(12)
DyZn2SnIr4 | OQMD | GGA-PBE | relaxed; SG = P4/mmm (123)
1.0
4.473 0.000 0.000
0.000 4.473 0.000
0.000 0.000 6.520
Dy Zn Sn Ir
1 2 1 4
Direct
0.000 0.000 0.000
0.000 0.000 0.500
0.500 0.500 0.000
0.500 0.500 0.500
0.000 0.500 0.266
0.000 0.500 0.734
0.500 0.000 0.266
0.500 0.000 0.734

***

(13)
Tm3Zr3NiTe2 | OQMD | GGA-PBE | relaxed; excess energy over the best structure of this formula in the dataset = 94 meV per atom; SG = P-62m (189)
1.0
8.086 0.000 0.000
-4.043 7.003 0.000
0.000 0.000 3.657
Tm Zr Ni Te
3 3 1 2
Direct
0.000 0.757 0.000
0.243 0.243 0.000
0.757 0.000 0.000
0.000 0.409 0.500
0.409 0.000 0.500
0.591 0.591 0.500
0.000 0.000 0.500
0.333 0.667 0.000
0.667 0.333 0.000

***

(14)
LiZr | OQMD | GGA-PBE | relaxed; excess energy over the best structure of this formula in the dataset = 46 meV per atom; SG = P2_1/m (11)
1.0
6.102 0.000 0.000
0.000 4.817 0.000
-0.301 0.000 8.320
Li Zr
6 6
Direct
0.033 0.250 0.112
0.218 0.750 0.186
0.449 0.750 0.935
0.551 0.250 0.065
0.782 0.250 0.814
0.967 0.750 0.888
0.125 0.750 0.531
0.277 0.250 0.733
0.396 0.250 0.392
0.604 0.750 0.608
0.723 0.750 0.267
0.875 0.250 0.469

***

(15)
La2Mg3CdPd2 | OQMD | GGA-PBE | relaxed; SG = Cm (8)
1.0
10.404 0.000 0.000
0.000 4.337 0.000
-0.020 0.000 8.401
La Mg Cd Pd
4 6 2 4
Direct
0.000 0.000 0.000
0.122 0.000 0.497
0.500 0.500 0.000
0.622 0.500 0.497
0.212 0.500 0.804
0.218 0.500 0.198
0.408 0.000 0.696
0.712 0.000 0.804
0.718 0.000 0.198
0.908 0.500 0.696
0.419 0.000 0.301
0.919 0.500 0.301
0.282 0.000 0.997
0.334 0.500 0.508
0.782 0.500 0.997
0.834 0.000 0.508

***

(16)
TbErAsO | OQMD | GGA-PBE | relaxed; excess energy over the best structure of this formula in the dataset = 121 meV per atom; SG = P4/nmm (129)
1.0
4.303 0.000 0.000
0.000 4.303 0.000
0.000 0.000 8.775
Tb Er As O
2 2 2 2
Direct
0.250 0.750 0.000
0.750 0.250 0.000
0.250 0.250 0.402
0.750 0.750 0.598
0.250 0.250 0.789
0.750 0.750 0.211
0.250 0.750 0.500
0.750 0.250 0.500

***

(17)
Er2Sc2BiSb | OQMD | GGA-PBE | relaxed; SG = I4mm (107)
1.0
4.358 0.000 0.000
0.000 4.358 0.000
0.000 0.000 16.345
Er Sc Bi Sb
4 4 2 2
Direct
0.000 0.000 0.000
0.000 0.000 0.351
0.500 0.500 0.500
0.500 0.500 0.851
0.000 0.500 0.181
0.000 0.500 0.681
0.500 0.000 0.181
0.500 0.000 0.681
0.000 0.000 0.544
0.500 0.500 0.044
0.000 0.000 0.811
0.500 0.500 0.311

***

(18)
Dy2Ho2Br5N | OQMD | GGA-PBE | relaxed; SG = C2/m (12)
1.0
8.757 -1.863 0.000
8.757 1.863 0.000
-1.842 0.000 7.818
Dy Ho Br N
2 2 5 1
Direct
0.137 0.137 0.070
0.863 0.863 0.930
0.499 0.499 0.198
0.501 0.501 0.802
0.000 0.000 0.500
0.331 0.331 0.179
0.337 0.337 0.655
0.663 0.663 0.345
0.669 0.669 0.821
0.000 0.000 0.000

***

(19)
ZnAgAsO | OQMD | GGA-PBE | relaxed; excess energy over the best structure of this formula in the dataset = 0 meV per atom; SG = Pmc2_1 (26)
1.0
3.159 0.000 0.000
0.000 6.811 0.000
0.000 0.000 5.955
Zn Ag As O
2 2 2 2
Direct
0.000 0.151 0.000
0.000 0.849 0.500
0.500 0.257 0.538
0.500 0.743 0.038
0.000 0.459 0.216
0.000 0.541 0.716
0.500 0.041 0.864
0.500 0.959 0.364

***

(20)
ReOs | OQMD | GGA-PBE | relaxed; excess energy over the best structure of this formula in the dataset = 0 meV per atom; SG = P-6m2 (187); formation enthalpy at 0 K = -0.084 eV/atom
1.0
2.764 0.000 0.000
-1.382 2.393 0.000
0.000 0.000 4.389
Re Os
1 1
Direct
0.000 0.000 0.000
0.333 0.667 0.500

***

Number 1: E -41.93 eV/cell. Number 2: E -129.89 eV/cell. Number 3: E -80.29 eV/cell. Number 4: E -83.71 eV/cell. Number 5: E -66.01 eV/cell. Number 6: E -74.80 eV/cell. Number 7: E -27.14 eV/cell. Number 8: E -78.53 eV/cell. Number 9: E -54.71 eV/cell. Number 10: E -58.02 eV/cell. Number 11: E -50.45 eV/cell. Number 12: E -49.26 eV/cell. Number 13: E -55.90 eV/cell. Number 14: E -60.80 eV/cell. Number 15: E -60.64 eV/cell. Number 16: E -52.46 eV/cell. Number 17: E -68.21 eV/cell. Number 18: E -50.85 eV/cell. Number 19: E -30.11 eV/cell. Number 20: E -23.82 eV/cell.